This record from the Alexandria database describes crystalline Mn4AlZn10 at its relaxed geometry. The functional is PBE. Values from VASP.

Summary:
**DFT formation energy**: 0.25 eV/atom
**Total moment**: 12.3 Bohr magnetons per cell
**Density of states at the Fermi level**: 8.6 states/eV per cell
**Volume**: 240.7 Å³ per cell

The structure in Quantum ESPRESSO input format:
```
&SYSTEM
  ibrav = 0, nat = 15, ntyp = 3
/
ATOMIC_SPECIES
Zn 65.41 Zn.upf
Mn 54.94 Mn.upf
Al 26.98 Al.upf
CELL_PARAMETERS angstrom
-5.1900 -3.0476 6.7564
-2.7820 -6.1673 1.1400
1.6261 -2.9472 5.9786
ATOMIC_POSITIONS crystal
Zn 0.7500 0.5000 0.5000
Zn 0.7747 0.6525 0.0837
Zn 0.4891 0.6525 0.0837
Zn 0.2500 0.5000 0.5000
Zn 0.2253 0.3475 0.9163
Zn 0.1416 0.0837 0.3475
Zn 0.4272 0.0837 0.3475
Zn 0.8584 0.9163 0.6525
Zn 0.5728 0.9163 0.6525
Zn 0.5109 0.3475 0.9163
Mn 0.3349 0.7237 0.6065
Mn 0.0586 0.6065 0.2763
Mn 0.6651 0.2763 0.3935
Mn 0.9414 0.3935 0.7237
Al 0.0000 0.0000 0.0000
```

---

This record from the Alexandria database describes crystalline MnAlZn2 at its relaxed geometry. The functional is PBE. Values from VASP.

Summary:
**DFT formation energy**: 0.08 eV/atom
**Total moment**: 2.9 Bohr magnetons per cell
**Density of states at the Fermi level**: 1.9 states/eV per cell
**Volume**: 59.2 Å³ per cell

The structure in Quantum ESPRESSO input format:
```
&SYSTEM
  ibrav = 0, nat = 4, ntyp = 3
/
ATOMIC_SPECIES
Zn 65.41 Zn.upf
Mn 54.94 Mn.upf
Al 26.98 Al.upf
CELL_PARAMETERS angstrom
-2.2423 7.4632 -4.2405
-2.9001 5.6096 -6.2315
-4.7419 6.2048 -4.2101
ATOMIC_POSITIONS crystal
Zn 0.0025 0.0025 0.0025
Zn 0.4975 0.4975 0.4975
Mn 0.7500 0.7500 0.7500
Al 0.2500 0.2500 0.2500
```

---

Repeat the first record exactly.
This record from the Alexandria database describes crystalline Mn4AlZn10 at its relaxed geometry. The functional is PBE. Values from VASP.

Summary:
**DFT formation energy**: 0.25 eV/atom
**Total moment**: 12.3 Bohr magnetons per cell
**Density of states at the Fermi level**: 8.6 states/eV per cell
**Volume**: 240.7 Å³ per cell

The structure in Quantum ESPRESSO input format:
```
&SYSTEM
  ibrav = 0, nat = 15, ntyp = 3
/
ATOMIC_SPECIES
Zn 65.41 Zn.upf
Mn 54.94 Mn.upf
Al 26.98 Al.upf
CELL_PARAMETERS angstrom
-5.1900 -3.0476 6.7564
-2.7820 -6.1673 1.1400
1.6261 -2.9472 5.9786
ATOMIC_POSITIONS crystal
Zn 0.7500 0.5000 0.5000
Zn 0.7747 0.6525 0.0837
Zn 0.4891 0.6525 0.0837
Zn 0.2500 0.5000 0.5000
Zn 0.2253 0.3475 0.9163
Zn 0.1416 0.0837 0.3475
Zn 0.4272 0.0837 0.3475
Zn 0.8584 0.9163 0.6525
Zn 0.5728 0.9163 0.6525
Zn 0.5109 0.3475 0.9163
Mn 0.3349 0.7237 0.6065
Mn 0.0586 0.6065 0.2763
Mn 0.6651 0.2763 0.3935
Mn 0.9414 0.3935 0.7237
Al 0.0000 0.0000 0.0000
```